# SCAN Y4CdS7, single point on PBEsol structure
# energy relative to the elements, uncorrected: -2098 meV per atom
# DFT total energy: -19.53 eV per atom
data_Y4CdS7
_chemical_formula_sum 'Y4 Cd1 S7'
_space_group_name_H-M_alt 'P 1'
_space_group_IT_number 1
_space_group_name_Hall 'P 1'
_cell_length_a 6.541
_cell_length_b 6.541
_cell_length_c 11.431
_cell_angle_alpha 104.76
_cell_angle_beta 104.76
_cell_angle_gamma 33.67
loop_
_atom_site_label
_atom_site_fract_x
_atom_site_fract_y
_atom_site_fract_z
_atom_site_occupancy
Y1 0.000 0.000 0.000 1
Y2 0.386 0.386 0.600 1
Y3 0.591 0.591 0.380 1
Y4 0.694 0.694 0.812 1
Cd1 0.819 0.819 0.229 1
S1 0.034 0.034 0.755 1
S2 0.226 0.226 0.339 1
S3 0.355 0.355 0.856 1
S4 0.445 0.445 0.158 1
S5 0.660 0.660 0.031 1
S6 0.736 0.736 0.598 1
S7 0.966 0.966 0.455 1